Below is a relaxed K2LaMo crystal, with properties calculated at the PBE level.

- E_tot (eV per atom) = -3.704
- space-group type = No. 35
- calculated formation energy (meV per atom) = 784
- excess energy over the best structure of this formula in the dataset (meV/atom) = 69

The structure in POSCAR format:
```
K2LaMo
1.0
-1.3848 -2.8154 -1.6000
2.7383 -0.8632 2.0397
-7.8347 -1.7123 9.7936
K Mo La
2 1 1
Direct
0.5000 0.5000 0.2713 K
0.0000 0.0000 0.9394 K
0.5000 0.5000 0.7164 Mo
0.0000 0.0000 0.5729 La
```

***

Below is a relaxed CeNd3Cl crystal, with properties calculated at the PBE level.

- E_tot (eV per atom) = -4.820
- space-group type = No. 221
- formation energy from raw total energies (eV per atom) = -0.40

The structure in POSCAR format:
```
CeNd3Cl
1.0
5.4907 0.0000 0.0000
0.0000 5.4907 0.0000
0.0000 0.0000 5.4907
Nd Cl Ce
3 1 1
Direct
0.0000 0.5000 0.0000 Nd
0.0000 0.0000 0.5000 Nd
0.5000 0.0000 0.0000 Nd
0.0000 0.0000 0.0000 Cl
0.5000 0.5000 0.5000 Ce
```